Computed, not measured: an optimized crystal structure of BaLiIn2 at the PBEsol level of DFT.

Computed properties:
The calculated volume is 119.1 Å³ per cell. The spin magnetization comes out at 0.00 μB per formula unit. As for the space-group type: R3m, No. 160. As for the formation energy: -0.381 eV per atom. The value obtained for the energy is -11.604 eV for the cell shown.

Unit cell a=6.616 b=6.616 c=6.616 alpha=42.38 beta=42.38 gamma=42.38
Fractional positions:
Ba  0.000  0.000  0.000
Li  0.191  0.191  0.191
In  0.520  0.520  0.520
In  0.792  0.792  0.792